{"formula": "YMg2Br", "functional": "PBE", "state": "relaxed", "volume_a3_per_fu": 104.8, "raw_formation_energy_ev_per_atom": -0.3306, "sg": "No. 47", "lattice_angstrom": [[-0.2776, -1.9054, -2.8262], [0.5648, -4.2255, 2.7933], [-5.9561, -0.2832, 0.7760]], "species": ["Br", "Mg", "Mg", "Y"], "frac_coords": [[0.0000, 0.5000, 0.5000], [0.0000, 0.0000, 0.0000], [0.5000, 0.5000, 0.0000], [0.5000, 0.0000, 0.5000]]}

***

{"formula": "TlPdF3", "functional": "PBE", "state": "relaxed", "volume_a3_per_fu": 118.5, "raw_formation_energy_ev_per_atom": -1.1749, "sg": "No. 63", "lattice_angstrom": [[2.8617, -7.7748, 0.0000], [2.8617, 7.7748, 0.0000], [0.0000, 0.0000, 5.3280]], "species": ["Tl", "Tl", "Pd", "Pd", "F", "F", "F", "F", "F", "F"], "frac_coords": [[0.3338, 0.6662, 0.2500], [0.6662, 0.3338, 0.7500], [0.1020, 0.8980, 0.2500], [0.8980, 0.1020, 0.7500], [0.9505, 0.5526, 0.2500], [0.4474, 0.0495, 0.2500], [0.5526, 0.9505, 0.7500], [0.0495, 0.4474, 0.7500], [0.0000, 0.0000, 0.0000], [0.0000, 0.0000, 0.5000]]}

***

{"formula": "Tb2ZnGe2Rh5", "functional": "PBE", "state": "relaxed", "volume_a3_per_fu": 169.4, "sg": "No. 127", "delta_e_f_ev_per_atom": -0.757, "lattice_angstrom": [[-0.6686, 0.3456, -3.4742], [4.2769, -8.6123, -1.6798], [-8.5803, -4.4959, 1.2040]], "species": ["Tb", "Tb", "Tb", "Tb", "Zn", "Zn", "Ge", "Ge", "Ge", "Ge", "Rh", "Rh", "Rh", "Rh", "Rh", "Rh", "Rh", "Rh", "Rh", "Rh"], "frac_coords": [[0.0000, 0.6732, 0.1732], [0.0000, 0.3268, 0.8268], [0.0000, 0.1732, 0.3268], [0.0000, 0.8268, 0.6732], [0.0000, 0.0000, 0.0000], [0.0000, 0.5000, 0.5000], [0.0000, 0.1265, 0.6265], [0.0000, 0.8735, 0.3735], [0.0000, 0.6265, 0.8735], [0.0000, 0.3735, 0.1265], [0.5000, 0.2056, 0.0662], [0.5000, 0.7944, 0.9338], [0.5000, 0.0662, 0.7944], [0.5000, 0.7056, 0.4338], [0.5000, 0.9338, 0.2056], [0.5000, 0.2944, 0.5662], [0.5000, 0.5662, 0.7056], [0.5000, 0.4338, 0.2944], [0.5000, 0.5000, 0.0000], [0.5000, 0.0000, 0.5000]]}

***

{"formula": "Y2CrPb", "functional": "PBE", "state": "relaxed", "volume_a3_per_fu": 100.5, "sg": "No. 122", "delta_e_f_ev_per_atom": 0.557, "lattice_angstrom": [[8.1273, 0.0000, 0.0000], [0.0000, 8.1273, 0.0000], [4.0636, 4.0636, 3.0416]], "species": ["Pb", "Pb", "Y", "Y", "Y", "Y", "Cr", "Cr"], "frac_coords": [[0.0000, 0.0000, 0.0000], [0.7500, 0.2500, 0.5000], [0.5718, 0.1250, 0.2500], [0.1782, 0.6250, 0.2500], [0.3750, 0.4282, 0.7500], [0.8750, 0.8218, 0.7500], [0.5000, 0.5000, 0.0000], [0.2500, 0.7500, 0.5000]]}

***

{"formula": "P2RuSN", "functional": "PBE", "state": "relaxed", "volume_a3_per_fu": 62.4, "raw_formation_energy_ev_per_atom": 0.9263, "sg": "No. 123", "lattice_angstrom": [[-0.7721, -1.8396, -3.3555], [-0.2490, -3.3917, 1.9168], [-4.0084, 0.6226, 0.5810]], "species": ["Ru", "S", "N", "P", "P"], "frac_coords": [[0.5000, 0.5000, 0.5000], [0.0000, 0.0000, 0.5000], [0.0000, 0.0000, 0.0000], [0.0000, 0.5000, 0.0000], [0.5000, 0.0000, 0.0000]]}

***

{"formula": "RbHg2Sb", "functional": "PBE", "state": "relaxed", "volume_a3_per_fu": 127.8, "raw_formation_energy_ev_per_atom": -0.0661, "sg": "No. 123", "lattice_angstrom": [[-2.2662, 2.5592, 1.5969], [-3.0156, -1.9726, -1.1181], [0.1819, -4.6333, 7.6838]], "species": ["Sb", "Hg", "Hg", "Rb"], "frac_coords": [[0.5000, 0.5000, 0.0000], [0.0000, 0.0000, 0.7792], [0.0000, 0.0000, 0.2208], [0.5000, 0.5000, 0.5000]]}

***

Size of the total moment, record by record: 0.00; 2.93; 0.00; 0.00; 0.00; 0.00 μB per cell